Computed, not measured: crystalline UMn3O6F2 at its relaxed geometry at the GGA+U level of DFT.

Values from the calculation:
SG: C2/m (12)
Electronic total energy in eV per atom: -7.904

```
UMn3O6F2
1.0
5.4048 -3.1211 0.0000
5.4048 3.1211 0.0000
-0.3839 0.0000 4.6367
U Mn O F
1 3 6 2
direct
0.0000 0.0000 0.0000
0.0000 0.5000 0.0000
0.5000 0.0000 0.0000
0.5000 0.5000 0.5000
0.1555 0.6748 0.2207
0.1871 0.1871 0.1967
0.3252 0.8445 0.7793
0.6748 0.1555 0.2207
0.8129 0.8129 0.8033
0.8445 0.3252 0.7793
0.3362 0.3362 0.7428
0.6638 0.6638 0.2572
```